(1)
Here is a relaxed structure of Sr2PuAs3Rh4 from Alexandria. Energies are from PBE.

D(E_F), states/eV per atom: 0.915
Formation enthalpy at 0 K, eV per atom: -0.75
Total DFT energy (no corrections), eV per atom: -6.855

Lattice parameters (Å, degrees): 4.244 4.244 11.200 90.00 90.00 90.00
Space group P-4m2 (No. 115)
Asymmetric unit:
Sr: 0.000 0.500 0.233 (multiplicity 2)
Pu: 0.000 0.000 0.500 (multiplicity 1)
As: 0.000 0.500 0.875 (multiplicity 2)
As: 0.500 0.500 0.500 (multiplicity 1)
Rh: 0.000 0.000 0.000 (multiplicity 1)
Rh: 0.000 0.500 0.654 (multiplicity 2)
Rh: 0.500 0.500 0.000 (multiplicity 1)

(2)
Here is a relaxed structure of PuTh2As3Rh4 from Alexandria. Energies are from PBE.

D(E_F), states/eV per atom: 1.277
Formation enthalpy at 0 K, eV per atom: -0.88
Total DFT energy (no corrections), eV per atom: -8.130

Lattice parameters (Å, degrees): 4.155 4.155 11.419 90.00 90.00 90.00
Space group P-4m2 (No. 115)
Asymmetric unit:
Pu: 0.000 0.000 0.000 (multiplicity 1)
Th: 0.000 0.500 0.726 (multiplicity 2)
As: 0.000 0.500 0.374 (multiplicity 2)
As: 0.500 0.500 0.000 (multiplicity 1)
Rh: 0.000 0.000 0.500 (multiplicity 1)
Rh: 0.000 0.500 0.162 (multiplicity 2)
Rh: 0.500 0.500 0.500 (multiplicity 1)

(3)
Here is a relaxed structure of PuThAs2Rh5 from Alexandria. Energies are from PBE.

D(E_F), states/eV per atom: 1.563
Formation enthalpy at 0 K, eV per atom: -0.55
Total DFT energy (no corrections), eV per atom: -8.088

Lattice parameters (Å, degrees): 4.051 4.051 11.486 90.00 90.00 90.00
Space group P4/mmm (No. 123)
Asymmetric unit:
Pu: 0.000 0.000 0.000 (multiplicity 1)
Th: 0.000 0.000 0.500 (multiplicity 1)
As: 0.500 0.500 0.208 (multiplicity 2)
Rh: 0.000 0.500 0.320 (multiplicity 4)
Rh: 0.500 0.500 0.000 (multiplicity 1)

(4)
Here is a relaxed structure of Pu2ThAs2Rh2 from Alexandria. Energies are from PBE.

D(E_F), states/eV per atom: 1.443
Formation enthalpy at 0 K, eV per atom: -0.82
Total DFT energy (no corrections), eV per atom: -9.400

Lattice parameters (Å, degrees): 4.3929 4.3929 25.6940 90.00 90.00 120.00
Space group R-3m (No. 166, hexagonal axes)
Asymmetric unit:
Pu: 0.0000 0.0000 0.1399 (multiplicity 6)
Th: 0.0000 0.0000 0.0000 (multiplicity 3)
As: 0.0000 0.0000 0.2634 (multiplicity 6)
Rh: 0.0000 0.0000 0.4205 (multiplicity 6)